## LiHf2TlH (PBE)

Data for an optimized crystal structure of LiHf2TlH.

Output
- total energy (eV/cell) = -27.98

a b c (Å): 4.316 4.316 4.420
angles (deg): 90.00 90.00 90.00
Positions (direct):
Hf 0.500 0.000 0.000
Hf 0.000 0.500 0.000
H 0.000 0.000 0.000
Li 0.000 0.000 0.500
Tl 0.500 0.500 0.500